1.
Here is a relaxed structure of CaZn2BiAu5 from Alexandria via LeMat-Bulk. Energies are from GGA-PBE.

```
data_CaZn2BiAu5
_space_group_name_H-M_alt 'P 4/m m m'
_space_group_IT_number 123
_space_group_name_Hall '-P 4 2'
_cell_length_a 4.654
_cell_length_b 4.654
_cell_length_c 8.565
_cell_angle_alpha 90.00
_cell_angle_beta 90.00
_cell_angle_gamma 90.00
loop_
_atom_site_label
_atom_site_type_symbol
_atom_site_fract_x
_atom_site_fract_y
_atom_site_fract_z
Ca1 Ca 0.000 0.000 0.000
Zn1 Zn 0.500 0.500 0.357
Bi1 Bi 0.000 0.000 0.500
Au1 Au 0.000 0.500 0.226
Au2 Au 0.500 0.500 0.000
```

As for the electronic total energy: -27.0 eV per cell. The energy of formation from the pure elements comes out at -2.22 eV/f.u. As for the mass density: 12.2 Mg/m³.



2.
Here is a relaxed structure of LiPmB from Alexandria via LeMat-Bulk. Energies are from GGA-PBE.

```
data_LiPmB
_space_group_name_H-M_alt 'P 1 21/m 1'
_space_group_IT_number 11
_space_group_name_Hall '-P 2yb'
_cell_length_a 4.056
_cell_length_b 3.540
_cell_length_c 7.269
_cell_angle_alpha 90.00
_cell_angle_beta 90.08
_cell_angle_gamma 90.00
loop_
_atom_site_label
_atom_site_type_symbol
_atom_site_fract_x
_atom_site_fract_y
_atom_site_fract_z
Li1 Li 0.250 0.250 0.005
Pm1 Pm 0.250 0.750 0.662
B1 B 0.251 0.750 0.240
```

As for the electronic total energy: -25.4 eV per cell. The energy of formation from the pure elements comes out at 0.65 eV/f.u. As for the mass density: 5.2 Mg/m³.



3.
Here is a relaxed structure of Th8Ir3SeS4 from Alexandria via LeMat-Bulk. Energies are from GGA-PBE.

```
data_Th8Ir3SeS4
_space_group_name_H-M_alt 'R -3 m'
_space_group_IT_number 166
_space_group_name_Hall '-R 3 2"'
_cell_length_a 8.2343
_cell_length_b 8.2343
_cell_length_c 20.7333
_cell_angle_alpha 90.00
_cell_angle_beta 90.00
_cell_angle_gamma 120.00
loop_
_atom_site_label
_atom_site_type_symbol
_atom_site_fract_x
_atom_site_fract_y
_atom_site_fract_z
Th1 Th 0.0000 0.0000 0.2426
Th2 Th 0.0105 0.5053 0.7509
Ir1 Ir 0.0000 0.5000 0.5000
Se1 Se 0.0000 0.0000 0.5000
S1 S 0.0000 0.0000 0.0000
S2 S 0.0000 0.5000 0.0000
```

As for the electronic total energy: -387.0 eV per cell. For the uncorrected formation energy, the calculation gives -1.4422 eV per atom. As for the mass density: 10.8 Mg/m³.